[1]
## CaPmAu4 (GGA-PBE)

Data for a relaxed CaPmAu4 crystal.

For the formation energy, the calculation gives -563.1 meV per atom. The energy relative to the lowest polymorph listed for this composition comes out at 181 meV per atom.

The structure belongs to space group P2/m (No. 10); the cell edges are 5.5436, 4.3039 and 6.9761 Å and the angles 90.00°, 108.54° and 90.00°. The inequivalent atoms are Ca at (0.0000, 0.0000, 0.0000), Pm at (0.5000, 0.5000, 0.5000), Au at (0.0666, 0.5000, 0.7174) and Au at (0.4331, 0.0000, 0.7834).

[2]
## CaPmAu (GGA-PBE)

Data for a relaxed CaPmAu crystal.

For the formation energy, the calculation gives -521.5 meV per atom. The energy relative to the lowest polymorph listed for this composition comes out at 0 meV per atom.

The structure belongs to space group Cmcm (No. 63); the cell edges are 5.2191, 12.9375 and 5.2234 Å and the angles 90.00°, 90.00° and 90.00°. The inequivalent atoms are Ca at (0.0000, 0.1108, 0.2500), Pm at (0.0000, 0.3813, 0.2500) and Au at (0.0000, 0.2516, 0.7500).

[3]
## CaPm3Au3 (GGA-PBE)

Data for a relaxed CaPm3Au3 crystal.

For the formation energy, the calculation gives -610.5 meV per atom.

The structure belongs to space group C2/m (No. 12); the cell edges are 10.2532, 10.4651 and 7.3115 Å and the angles 90.00°, 94.55° and 90.00°. The inequivalent atoms are Ca at (0.2494, 0.0000, 0.0335), Pm at (0.0000, 0.2471, 0.0000), Pm at (0.0000, 0.3040, 0.5000), Pm at (0.1935, 0.0000, 0.5137), Au at (0.0449, 0.5000, 0.2125) and Au at (0.2456, 0.2517, 0.2646).

[4]
## Ca3PmAu3 (GGA-PBE)

Data for a relaxed Ca3PmAu3 crystal.

For the formation energy, the calculation gives -655.3 meV per atom.

The structure belongs to space group Cmmm (No. 65); the cell edges are 10.0402, 10.6353 and 7.2907 Å and the angles 90.00°, 90.00° and 90.00°. The inequivalent atoms are Ca at (0.0000, 0.2413, 0.0000), Ca at (0.2312, 0.5000, 0.5000), Ca at (0.2470, 0.5000, 0.0000), Pm at (0.0000, 0.2232, 0.5000), Au at (0.0000, 0.0000, 0.2442) and Au at (0.2500, 0.2500, 0.2557).

[5]
## CaPm2Au4 (GGA-PBE)

Data for a relaxed CaPm2Au4 crystal.

For the formation energy, the calculation gives -656.8 meV per atom.

The structure belongs to space group R-3m (No. 166, hexagonal axes); the cell edges are 5.0545, 5.0545 and 24.9422 Å and the angles 90.00°, 90.00° and 120.00°. The inequivalent atoms are Ca at (0.0000, 0.0000, 0.0000), Pm at (0.0000, 0.0000, 0.2423), Au at (0.0000, 0.0000, 0.1211) and Au at (0.0000, 0.0000, 0.3704).

[6]
## Ca3PmAu2 (GGA-PBE)

Data for a relaxed Ca3PmAu2 crystal.

For the formation energy, the calculation gives -572.7 meV per atom.

The structure belongs to space group Pmc2_1 (No. 26); the cell edges are 4.8800, 9.4671 and 7.4763 Å and the angles 90.00°, 90.00° and 90.00°. The inequivalent atoms are Ca at (0.0000, 0.0833, 0.0000), Ca at (0.0000, 0.3226, 0.3764), Ca at (0.5000, 0.1768, 0.6665), Pm at (0.5000, 0.4214, 0.0380), Au at (0.0000, 0.3656, 0.7853) and Au at (0.5000, 0.1441, 0.2585).

[7]
## Ca2PmAu3 (GGA-PBE)

Data for a relaxed Ca2PmAu3 crystal.

For the formation energy, the calculation gives -794.7 meV per atom. The energy relative to the lowest polymorph listed for this composition comes out at 0 meV per atom.

The structure belongs to space group Cmmm (No. 65); the cell edges are 5.1518, 15.5214 and 3.6727 Å and the angles 90.00°, 90.00° and 90.00°. The inequivalent atoms are Ca at (0.0000, 0.1691, 0.0000), Pm at (0.0000, 0.5000, 0.0000), Au at (0.0000, 0.0000, 0.5000) and Au at (0.0000, 0.3385, 0.5000).

[8]
## CaPmAu4 (GGA-PBE)

Data for a relaxed CaPmAu4 crystal.

For the formation energy, the calculation gives -557.9 meV per atom. The energy relative to the lowest polymorph listed for this composition comes out at 186 meV per atom.

The structure belongs to space group F-43m (No. 216); the cell edges are 8.0858, 8.0858 and 8.0858 Å and the angles 90.00°, 90.00° and 90.00°. The inequivalent atoms are Ca at (0.0000, 0.0000, 0.0000), Pm at (0.2500, 0.2500, 0.7500) and Au at (0.1255, 0.1255, 0.3745).

no.,total magnetization (μB per formula unit)
1,0.0
2,0.0
3,0.0
4,0.0
5,0.0
6,0.0
7,0.0
8,0.0